1.
Here is an optimized crystal structure of PuCuPbO6 from the Alexandria database. Energies are from GGA-PBE.

**Symmetry**: P-31c (163)
**Volume**: 14.43 Å³/atom
**Crystal system**: trigonal
**Energy relative to the elements, uncorrected**: -13.251 eV/f.u.

Lattice parameters (Å, degrees): 5.301 5.301 10.668 90.00 90.00 120.00
Positions (direct):
Pu 0.333 0.667 0.250
Pu 0.667 0.333 0.750
Cu 0.333 0.667 0.750
Cu 0.667 0.333 0.250
Pb 0.000 0.000 0.000
Pb 0.000 0.000 0.500
O 0.003 0.365 0.144
O 0.003 0.638 0.356
O 0.362 0.365 0.356
O 0.362 0.997 0.144
O 0.365 0.003 0.644
O 0.365 0.362 0.856
O 0.635 0.638 0.144
O 0.635 0.997 0.356
O 0.638 0.003 0.856
O 0.638 0.635 0.644
O 0.997 0.362 0.644
O 0.997 0.635 0.856

=====

2.
Here is an optimized crystal structure of Mg4Si7 from the Alexandria database. Energies are from GGA-PBE.

**Symmetry**: P1 (1)
**E above lowest polymorph**: 13 meV per atom
**Volume**: 18.72 Å³/atom
**Crystal system**: triclinic
**Energy relative to the elements, uncorrected**: 1.201 eV/f.u.

Lattice parameters (Å, degrees): 4.203 7.174 13.814 88.01 84.03 83.83
Positions (direct):
Mg 0.000 0.000 0.000
Mg 0.002 0.489 0.080
Mg 0.462 0.796 0.150
Mg 0.532 0.982 0.820
Mg 0.641 0.555 0.747
Mg 0.869 0.914 0.464
Mg 0.911 0.084 0.230
Mg 0.921 0.622 0.309
Si 0.064 0.679 0.872
Si 0.098 0.840 0.710
Si 0.115 0.325 0.855
Si 0.190 0.579 0.603
Si 0.252 0.270 0.682
Si 0.367 0.226 0.371
Si 0.389 0.897 0.335
Si 0.447 0.182 0.097
Si 0.470 0.412 0.221
Si 0.531 0.687 0.964
Si 0.575 0.340 0.943
Si 0.714 0.587 0.517
Si 0.811 0.125 0.627
Si 0.825 0.290 0.457

=====

3.
Here is an optimized crystal structure of Y4Bi2AsS from the Alexandria database. Energies are from GGA-PBE.

**Symmetry**: P2/m (10)
**Volume**: 27.23 Å³/atom
**Crystal system**: monoclinic
**Energy relative to the elements, uncorrected**: -10.396 eV/f.u.

Lattice parameters (Å, degrees): 7.317 4.233 7.446 90.00 109.13 90.00
Positions (direct):
Y 0.241 0.000 0.224
Y 0.258 0.500 0.776
Y 0.742 0.500 0.224
Y 0.759 0.000 0.776
Bi 0.000 0.000 0.500
Bi 0.500 0.500 0.500
As 0.500 0.000 0.000
S 0.000 0.500 0.000

=====

4.
Here is an optimized crystal structure of Ca3LaRh from the Alexandria database. Energies are from GGA-PBE.

**Symmetry**: C2/m (12)
**E above lowest polymorph**: 0 meV per atom
**Volume**: 34.86 Å³/atom
**Crystal system**: monoclinic
**Energy of formation from the pure elements**: -0.30 eV/atom

Lattice parameters (Å, degrees): 7.688 7.688 8.408 123.09 123.09 74.16
Positions (direct):
Ca 0.045 0.441 0.195
Ca 0.048 0.048 0.351
Ca 0.441 0.045 0.195
Ca 0.559 0.955 0.805
Ca 0.952 0.952 0.649
Ca 0.955 0.559 0.805
La 0.456 0.456 0.752
La 0.544 0.544 0.248
Rh 0.274 0.274 0.885
Rh 0.726 0.726 0.115

=====

5.
Here is an optimized crystal structure of HfFe3Co2 from the Alexandria database. Energies are from GGA-PBE.

**Symmetry**: P6/mmm (191)
**Volume**: 13.25 Å³/atom
**Crystal system**: hexagonal
**Energy of formation from the pure elements**: -0.11 eV/atom

Lattice parameters (Å, degrees): 4.775 4.775 4.025 90.00 90.00 120.00
Positions (direct):
Hf 0.000 0.000 0.000
Fe 0.000 0.500 0.500
Fe 0.500 0.000 0.500
Fe 0.500 0.500 0.500
Co 0.333 0.667 0.000
Co 0.667 0.333 0.000

=====

6.
Here is an optimized crystal structure of CePmSm3 from the Alexandria database. Energies are from GGA-PBE.

**Symmetry**: Cmcm (63)
**Volume**: 34.46 Å³/atom
**Crystal system**: orthorhombic
**Energy of formation from the pure elements**: 0.31 eV/atom

Lattice parameters (Å, degrees): 11.073 11.073 7.218 90.00 90.00 51.15
Positions (direct):
Ce 0.028 0.453 0.250
Ce 0.453 0.028 0.750
Ce 0.547 0.972 0.250
Ce 0.972 0.547 0.750
Pm 0.026 0.974 0.750
Pm 0.488 0.512 0.750
Pm 0.512 0.488 0.250
Pm 0.974 0.026 0.250
Sm 0.086 0.703 0.015
Sm 0.086 0.703 0.485
Sm 0.297 0.914 0.015
Sm 0.297 0.914 0.485
Sm 0.332 0.332 0.000
Sm 0.332 0.332 0.500
Sm 0.668 0.668 0.000
Sm 0.668 0.668 0.500
Sm 0.703 0.086 0.515
Sm 0.703 0.086 0.985
Sm 0.914 0.297 0.515
Sm 0.914 0.297 0.985

=====

- The highest volume belongs to which entry?
  Ca3LaRh